A plane-wave DFT calculation with GGA+U was carried out for crystalline RbNdFeO3 at its relaxed geometry.

crystal system = monoclinic
space-group type = P2_1/m
raw total energy = -6.49 eV per atom

Cell lengths 3.7559, 7.8051, 9.3860 Å; angles 108.76, 90.00, 90.00 degrees
Last column: nearest neighbours and their distance in Å.
Fractional positions:
Fe 0.2500 0.0421 0.6242  4 O 1.98-2.05
Fe 0.7500 0.9579 0.3758  4 O 1.98-2.05
O 0.2500 0.1279 0.8467  1 Fe 1.98
O 0.7500 0.4598 0.1179  3 Nd 2.34-2.42
O 0.7500 0.1230 0.5954  3 Fe 2.03-2.05
O 0.7500 0.8721 0.1533  1 Fe 1.98
O 0.2500 0.8770 0.4046  3 Fe 2.03-2.05
O 0.2500 0.5402 0.8821  3 Nd 2.34-2.42
Rb 0.2500 0.1876 0.1711  5 O 2.93-3.06
Rb 0.7500 0.8124 0.8289  5 O 2.93-3.06
Nd 0.7500 0.3371 0.8554  6 O 2.34-2.48
Nd 0.2500 0.6629 0.1446  6 O 2.34-2.48